(1)
Here is NaGaC after structural relaxation from Alexandria via LeMat-Bulk. Energies are from PBE.

```
NaGaC
1.0
2.000 0.000 4.650
-1.000 1.732 4.650
-1.000 -1.732 4.650
Na C Ga
1 1 1
direct
0.333 0.333 0.333 Na
0.144 0.144 0.144 C
0.821 0.821 0.821 Ga
```

Properties
The calculation puts the formation energy at 394 meV/atom. The space group is R3m (160). As for the density of states at the Fermi level: 0.0 states/eV/cell.


(2)
Here is NaGaC after structural relaxation from Alexandria via LeMat-Bulk. Energies are from PBE.

```
NaGaC
1.0
-7.523 -12.366 2.984
3.095 -2.969 -4.500
4.422 4.149 0.304
Na C Ga
4 4 4
direct
0.776 0.470 0.689 Na
0.224 0.530 0.311 Na
0.724 0.970 0.811 Na
0.276 0.030 0.189 Na
0.073 0.826 0.326 C
0.927 0.174 0.674 C
0.427 0.326 0.174 C
0.573 0.674 0.826 C
0.322 0.629 0.008 Ga
0.678 0.371 0.992 Ga
0.178 0.129 0.492 Ga
0.822 0.871 0.508 Ga
```

Properties
The calculation puts the formation energy at 460 meV/atom. The space group is P2_1/c (14). As for the density of states at the Fermi level: 0.0 states/eV/cell.


(3)
Here is NaGaC after structural relaxation from Alexandria via LeMat-Bulk. Energies are from PBE.

```
NaGaC
1.0
-4.745 -0.478 -0.691
0.094 -4.242 2.285
-1.677 4.493 8.411
Na C Ga
4 4 4
direct
0.000 0.780 0.000 Na
0.000 0.220 0.500 Na
0.220 0.000 0.250 Na
0.780 0.000 0.750 Na
0.500 0.083 0.000 C
0.500 0.917 0.500 C
0.917 0.500 0.250 C
0.083 0.500 0.750 C
0.677 0.677 0.375 Ga
0.323 0.323 0.875 Ga
0.323 0.677 0.625 Ga
0.677 0.323 0.125 Ga
```

Properties
The calculation puts the formation energy at 713 meV/atom. The space group is P4_122 (91). As for the density of states at the Fermi level: 0.0 states/eV/cell.


(4)
Here is NaGaC after structural relaxation from Alexandria via LeMat-Bulk. Energies are from PBE.

```
NaGaC
1.0
2.382 -5.110 0.000
2.382 5.110 0.000
0.000 0.000 5.671
Na C Ga
2 2 2
direct
0.198 0.802 0.250 Na
0.802 0.198 0.750 Na
0.619 0.381 0.250 C
0.381 0.619 0.750 C
0.500 0.500 0.000 Ga
0.500 0.500 0.500 Ga
```

Properties
The calculation puts the formation energy at 663 meV/atom. The space group is Cmcm (63). As for the density of states at the Fermi level: 0.0 states/eV/cell.


(5)
Here is NaGaC after structural relaxation from Alexandria via LeMat-Bulk. Energies are from PBE.

```
NaGaC
1.0
-5.856 5.492 -2.523
-5.046 -0.313 0.465
2.477 -0.177 4.428
Na C Ga
2 2 2
direct
0.857 0.663 0.151 Na
0.143 0.151 0.663 Na
0.718 0.642 0.482 C
0.282 0.482 0.642 C
0.497 0.529 0.095 Ga
0.503 0.095 0.529 Ga
```

Properties
The calculation puts the formation energy at 709 meV/atom. The space group is C2 (5). As for the density of states at the Fermi level: 0.0 states/eV/cell.


(6)
Here is NaGaC after structural relaxation from Alexandria via LeMat-Bulk. Energies are from PBE.

```
NaGaC
1.0
9.711 0.000 0.000
0.000 9.711 0.000
4.856 4.856 2.551
Na C Ga
4 4 4
direct
0.839 0.500 0.000 Na
0.161 0.500 0.000 Na
0.500 0.839 0.000 Na
0.500 0.161 0.000 Na
0.275 0.000 0.000 C
0.725 0.000 0.000 C
0.000 0.275 0.000 C
0.000 0.725 0.000 C
0.857 0.857 0.000 Ga
0.143 0.143 0.000 Ga
0.143 0.857 0.000 Ga
0.857 0.143 0.000 Ga
```

Properties
The calculation puts the formation energy at 629 meV/atom. The space group is I4/mmm (139). As for the density of states at the Fermi level: 1.9 states/eV/cell.


(7)
Here is NaGaC after structural relaxation from Alexandria via LeMat-Bulk. Energies are from PBE.

```
NaGaC
1.0
-0.187 -4.391 4.954
2.263 -2.228 -1.889
4.940 2.776 2.646
Na C Ga
4 4 4
direct
0.525 0.250 0.657 Na
0.975 0.750 0.157 Na
0.475 0.750 0.343 Na
0.025 0.250 0.843 Na
0.319 0.250 0.107 C
0.181 0.750 0.607 C
0.681 0.750 0.893 C
0.819 0.250 0.393 C
0.652 0.250 0.083 Ga
0.848 0.750 0.583 Ga
0.348 0.750 0.917 Ga
0.152 0.250 0.417 Ga
```

Properties
The calculation puts the formation energy at 582 meV/atom. The space group is Pnma (62). As for the density of states at the Fermi level: 0.0 states/eV/cell.


(8)
Here is NaGaC after structural relaxation from Alexandria via LeMat-Bulk. Energies are from PBE.

```
NaGaC
1.0
2.988 -1.725 0.000
0.000 3.450 0.000
0.000 0.000 4.554
Na C Ga
1 1 1
direct
0.667 0.333 0.500 Na
0.333 0.667 0.000 C
0.000 0.000 0.000 Ga
```

Properties
The calculation puts the formation energy at 392 meV/atom. The space group is P-6m2 (187). As for the density of states at the Fermi level: 0.0 states/eV/cell.


(9)
Here is NaGaC after structural relaxation from Alexandria via LeMat-Bulk. Energies are from PBE.

```
NaGaC
1.0
-2.249 -3.298 4.032
0.633 -2.150 -3.679
3.328 -1.870 4.143
Na C Ga
2 2 2
direct
0.134 0.455 0.666 Na
0.726 0.714 0.596 Na
0.217 0.567 0.120 C
0.217 0.873 0.120 C
0.515 0.339 0.063 Ga
0.917 0.085 0.147 Ga
```

Properties
The calculation puts the formation energy at 382 meV/atom. The space group is P1 (1). As for the density of states at the Fermi level: 1.3 states/eV/cell.


(10)
Here is NaGaC after structural relaxation from Alexandria via LeMat-Bulk. Energies are from PBE.

```
NaGaC
1.0
6.093 0.000 0.000
0.000 1.649 -5.320
0.000 1.649 5.320
Na C Ga
2 2 2
direct
0.000 0.274 0.726 Na
0.500 0.831 0.169 Na
0.892 0.971 0.029 C
0.108 0.971 0.029 C
0.721 0.562 0.438 Ga
0.279 0.562 0.438 Ga
```

Properties
The calculation puts the formation energy at 384 meV/atom. The space group is Amm2 (38). As for the density of states at the Fermi level: 1.1 states/eV/cell.


(11)
Here is NaGaC after structural relaxation from Alexandria via LeMat-Bulk. Energies are from PBE.

```
NaGaC
1.0
-5.093 -0.241 -0.768
2.081 -2.174 4.186
-0.823 6.055 3.553
Na C Ga
2 2 2
direct
0.333 0.667 0.250 Na
0.667 0.333 0.750 Na
0.000 0.000 0.000 C
0.000 0.000 0.500 C
0.000 0.000 0.250 Ga
0.000 0.000 0.750 Ga
```

Properties
The calculation puts the formation energy at 966 meV/atom. The space group is P6_3/mmc (194). As for the density of states at the Fermi level: 0.1 states/eV/cell.


(12)
Here is NaGaC after structural relaxation from Alexandria via LeMat-Bulk. Energies are from PBE.

```
NaGaC
1.0
-1.057 -1.962 -2.277
5.575 -2.277 1.618
-0.583 -3.301 5.341
Na C Ga
2 2 2
direct
0.780 0.245 0.569 Na
0.654 0.694 0.872 Na
0.041 0.020 0.316 C
0.087 0.896 0.532 C
0.473 0.144 0.053 Ga
0.404 0.713 0.349 Ga
```

Properties
The calculation puts the formation energy at 419 meV/atom. The space group is P1 (1). As for the density of states at the Fermi level: 1.1 states/eV/cell.


(13)
Here is NaGaC after structural relaxation from Alexandria via LeMat-Bulk. Energies are from PBE.

```
NaGaC
1.0
0.000 4.281 4.329
5.302 0.000 4.329
5.302 4.281 0.000
Na C Ga
4 4 4
direct
0.888 0.638 0.612 Na
0.389 0.638 0.612 Na
0.638 0.888 0.861 Na
0.638 0.389 0.362 Na
0.037 0.489 0.012 C
0.788 0.238 0.761 C
0.489 0.037 0.462 C
0.238 0.788 0.213 C
0.139 0.139 0.113 Ga
0.640 0.137 0.111 Ga
0.139 0.139 0.610 Ga
0.137 0.640 0.111 Ga
```

Properties
The calculation puts the formation energy at 682 meV/atom. The space group is Fdd2 (43). As for the density of states at the Fermi level: 0.1 states/eV/cell.


(14)
Here is NaGaC2 after structural relaxation from Alexandria via LeMat-Bulk. Energies are from PBE.

```
NaGaC2
1.0
-3.196 -2.688 -0.252
1.684 -1.679 -3.442
2.584 -6.505 1.894
Na C Ga
2 4 2
direct
0.500 0.500 0.000 Na
0.250 0.750 0.500 Na
0.875 0.125 0.250 C
0.875 0.625 0.250 C
0.375 0.125 0.750 C
0.875 0.125 0.750 C
0.000 0.000 0.000 Ga
0.750 0.250 0.500 Ga
```

Properties
The calculation puts the formation energy at 1421 meV/atom. The space group is I4_1/amd (141). As for the density of states at the Fermi level: 2.2 states/eV/cell.


(15)
Here is NaGaC after structural relaxation from Alexandria via LeMat-Bulk. Energies are from PBE.

```
NaGaC
1.0
14.274 0.000 -0.018
5.522 1.626 -2.449
-5.522 1.626 2.449
Na C Ga
2 2 2
direct
0.759 0.701 0.299 Na
0.438 0.272 0.728 Na
0.194 0.186 0.814 C
0.102 0.189 0.811 C
0.279 0.705 0.295 Ga
0.941 0.218 0.782 Ga
```

Properties
The calculation puts the formation energy at 316 meV/atom. The space group is Cm (8). As for the density of states at the Fermi level: 1.5 states/eV/cell.


(16)
Here is NaGaC after structural relaxation from Alexandria via LeMat-Bulk. Energies are from PBE.

```
NaGaC
1.0
-2.554 -0.616 -2.297
-3.683 -4.008 5.122
-2.221 3.867 1.433
Na C Ga
2 2 2
direct
0.955 0.641 0.308 Na
0.950 0.176 0.308 Na
0.453 0.901 0.443 C
0.453 0.901 0.174 C
0.452 0.030 0.808 Ga
0.450 0.385 0.808 Ga
```

Properties
The calculation puts the formation energy at 330 meV/atom. The space group is Pm (6). As for the density of states at the Fermi level: 1.4 states/eV/cell.


(17)
Here is NaGaC after structural relaxation from Alexandria via LeMat-Bulk. Energies are from PBE.

```
NaGaC
1.0
-0.195 4.453 4.610
-2.679 -1.755 1.582
6.227 -4.954 5.048
Na C Ga
4 4 4
direct
0.084 0.250 0.137 Na
0.416 0.750 0.637 Na
0.916 0.750 0.863 Na
0.584 0.250 0.363 Na
0.702 0.250 0.062 C
0.798 0.750 0.562 C
0.298 0.750 0.938 C
0.202 0.250 0.438 C
0.913 0.250 0.584 Ga
0.587 0.750 0.084 Ga
0.087 0.750 0.416 Ga
0.413 0.250 0.916 Ga
```

Properties
The calculation puts the formation energy at 657 meV/atom. The space group is Pnma (62). As for the density of states at the Fermi level: 0.2 states/eV/cell.


(18)
Here is Na2GaC after structural relaxation from Alexandria via LeMat-Bulk. Energies are from PBE.

```
Na2GaC
1.0
0.000 3.303 3.303
3.303 0.000 3.303
3.303 3.303 0.000
Na C Ga
2 1 1
direct
0.250 0.250 0.250 Na
0.750 0.750 0.750 Na
0.000 0.000 0.000 C
0.500 0.500 0.500 Ga
```

Properties
The calculation puts the formation energy at 1173 meV/atom. The space group is Fm-3m (225). As for the density of states at the Fermi level: 1.3 states/eV/cell. The energy above the most stable polymorph in this dataset is 0 meV per atom.


(19)
Here is NaGaC after structural relaxation from Alexandria via LeMat-Bulk. Energies are from PBE.

```
NaGaC
1.0
-0.927 3.849 5.198
1.814 -2.960 2.824
2.868 2.077 -2.956
Na C Ga
2 2 2
direct
0.019 0.607 0.846 Na
0.664 0.773 0.168 Na
0.626 0.234 0.673 C
0.744 0.082 0.836 C
0.320 0.001 0.700 Ga
0.338 0.337 0.373 Ga
```

Properties
The calculation puts the formation energy at 310 meV/atom. The space group is P1 (1). As for the density of states at the Fermi level: 0.0 states/eV/cell.


(20)
Here is NaGaC after structural relaxation from Alexandria via LeMat-Bulk. Energies are from PBE.

```
NaGaC
1.0
2.992 -1.728 0.000
0.000 3.455 0.000
0.000 0.000 8.976
Na C Ga
2 2 2
direct
0.000 0.000 0.000 Na
0.000 0.000 0.500 Na
0.333 0.667 0.250 C
0.667 0.333 0.750 C
0.333 0.667 0.750 Ga
0.667 0.333 0.250 Ga
```

Properties
The calculation puts the formation energy at 380 meV/atom. The space group is P6_3/mmc (194). As for the density of states at the Fermi level: 0.0 states/eV/cell.


(21)
Here is NaGaC after structural relaxation from Alexandria via LeMat-Bulk. Energies are from PBE.

```
NaGaC
1.0
4.444 0.000 0.000
0.000 4.642 0.000
2.222 2.321 4.751
Na C Ga
2 2 2
direct
0.802 0.802 0.397 Na
0.565 0.065 0.870 Na
0.177 0.032 0.647 C
0.177 0.322 0.647 C
0.391 0.391 0.217 Ga
0.038 0.538 0.923 Ga
```

Properties
The calculation puts the formation energy at 337 meV/atom. The space group is Imm2 (44). As for the density of states at the Fermi level: 1.1 states/eV/cell.


(22)
Here is NaGaC after structural relaxation from Alexandria via LeMat-Bulk. Energies are from PBE.

```
NaGaC
1.0
-3.013 -1.225 1.810
1.879 -3.026 1.080
1.846 2.957 5.073
Na C Ga
2 2 2
direct
0.000 0.500 0.116 Na
0.500 0.000 0.884 Na
0.000 0.500 0.681 C
0.500 0.000 0.319 C
0.000 0.000 0.500 Ga
0.500 0.500 0.500 Ga
```

Properties
The calculation puts the formation energy at 606 meV/atom. The space group is P4/nmm (129). As for the density of states at the Fermi level: 0.0 states/eV/cell.


(23)
Here is NaGaC after structural relaxation from Alexandria via LeMat-Bulk. Energies are from PBE.

```
NaGaC
1.0
-10.831 2.764 4.917
-10.949 0.043 5.409
1.588 0.512 3.211
Na C Ga
2 2 2
direct
0.590 0.590 0.000 Na
0.410 0.410 0.000 Na
0.526 0.526 0.500 C
0.474 0.474 0.500 C
0.806 0.806 0.500 Ga
0.194 0.194 0.500 Ga
```

Properties
The calculation puts the formation energy at 737 meV/atom. The space group is Cmmm (65). As for the density of states at the Fermi level: 2.1 states/eV/cell.


(24)
Here is NaGaC after structural relaxation from Alexandria via LeMat-Bulk. Energies are from PBE.

```
NaGaC
1.0
5.085 0.013 0.000
-2.574 2.507 0.002
0.000 -0.009 9.067
Na C Ga
2 2 2
direct
0.980 0.863 0.562 Na
0.481 0.865 0.231 Na
0.981 0.865 0.154 C
0.981 0.865 0.292 C
0.980 0.865 0.935 Ga
0.480 0.864 0.788 Ga
```

Properties
The calculation puts the formation energy at 247 meV/atom. The space group is P2 (3). As for the density of states at the Fermi level: 0.8 states/eV/cell.


(25)
Here is NaGaC after structural relaxation from Alexandria via LeMat-Bulk. Energies are from PBE.

```
NaGaC
1.0
-0.963 1.395 2.737
1.111 -5.553 2.076
5.277 0.973 3.171
Na C Ga
2 2 2
direct
0.181 0.885 0.194 Na
0.588 0.523 0.741 Na
0.852 0.276 0.111 C
0.912 0.187 0.937 C
0.303 0.381 0.307 Ga
0.014 0.036 0.676 Ga
```

Properties
The calculation puts the formation energy at 303 meV/atom. The space group is P1 (1). As for the density of states at the Fermi level: 0.9 states/eV/cell.


(26)
Here is NaGaC after structural relaxation from Alexandria via LeMat-Bulk. Energies are from PBE.

```
NaGaC
1.0
3.206 0.063 0.001
-1.768 8.098 0.000
-0.002 0.000 4.241
Na C Ga
2 2 2
direct
0.913 0.249 0.641 Na
0.073 0.563 0.141 Na
0.623 0.665 0.641 C
0.545 0.508 0.641 C
0.213 0.844 0.640 Ga
0.297 0.023 0.140 Ga
```

Properties
The calculation puts the formation energy at 304 meV/atom. The space group is Pm (6). As for the density of states at the Fermi level: 1.5 states/eV/cell.